(1)
A relaxed Nd6YSc2 crystal. Source: Alexandria via LeMat-Bulk, functional PBE.

```
Nd6YSc2
1.0
6.016 -2.824 0.000
6.016 2.824 0.000
-5.855 0.000 8.571
Nd Y Sc
6 1 2
direct
0.060 0.060 0.386
0.283 0.283 0.945
0.334 0.334 0.337
0.666 0.666 0.663
0.717 0.717 0.055
0.940 0.940 0.614
0.000 0.000 0.000
0.389 0.389 0.724
0.611 0.611 0.276
```

Final energy = -5.235 eV/atom
Magnetization = 0.000 Bohr magnetons per cell
Space group = C2/m

(2)
A relaxed BeAs2WSe crystal. Source: Alexandria via LeMat-Bulk, functional PBE.

```
BeAs2WSe
1.0
4.257 0.000 0.000
0.000 4.257 0.000
0.000 0.000 4.759
Be As W Se
1 2 1 1
direct
0.000 0.000 0.000
0.000 0.500 0.000
0.500 0.000 0.000
0.500 0.500 0.500
0.000 0.000 0.500
```

Final energy = -4.821 eV/atom
E_form (uncorrected) = 1.072 eV/atom
Magnetization = 0.000 Bohr magnetons per cell
Space group = P4/mmm

(3)
A relaxed FeRu2Pt crystal. Source: Alexandria via LeMat-Bulk, functional PBE.

```
FeRu2Pt
1.0
4.473 -1.351 0.000
4.473 1.351 0.000
-0.884 0.000 4.601
Fe Ru Pt
1 2 1
direct
0.000 0.000 0.000
0.256 0.256 0.764
0.744 0.744 0.236
0.500 0.500 0.500
```

Final energy = -8.211 eV/atom
Magnetization = 2.523 Bohr magnetons per cell
Space group = C2/m